Entry 1:
! Nd3YNi (GGA-PBE, optimized geometry); values from VASP
&SYSTEM
  ibrav = 0, nat = 5, ntyp = 3
/
ATOMIC_SPECIES
Ni 58.69 Ni.upf
Y 88.91 Y.upf
Nd 144.24 Nd.upf
ATOMIC_POSITIONS angstrom
Ni 0.000 0.000 0.000
Y -3.158 -1.360 -3.268
Nd -2.567 -0.802 0.519
Nd -0.903 1.552 -2.068
Nd 0.311 -2.109 -1.719
CELL_PARAMETERS angstrom
-1.806 3.103 -4.136
0.623 -4.219 -3.437
-5.133 -1.604 1.038
! E in eV/cell: -26.3
! Calculated formation energy in kJ per mole of atoms: 5.2

Entry 2:
! BeOs2Br (GGA-PBE, optimized geometry); values from VASP
&SYSTEM
  ibrav = 0, nat = 8, ntyp = 3
/
ATOMIC_SPECIES
Br 79.90 Br.upf
Os 190.23 Os.upf
Be 9.01 Be.upf
ATOMIC_POSITIONS angstrom
Br 0.000 0.000 0.000
Os 3.051 3.354 5.987
Os 2.747 1.017 1.996
Os 5.084 4.781 5.987
Be 2.034 2.034 0.000
Br 4.068 2.034 3.991
Be 2.034 4.068 3.991
Os 1.320 3.051 1.996
CELL_PARAMETERS angstrom
4.068 0.000 0.000
0.000 4.068 0.000
2.034 2.034 7.983
! E_form (uncorrected) in meV per atom: 1102
! E in eV/cell: -46.9
! Distance to the lowest polymorph of the same formula in eV per atom: 0.559

Entry 3:
! TlCuH (GGA-PBE, optimized geometry); values from VASP
&SYSTEM
  ibrav = 0, nat = 6, ntyp = 3
/
ATOMIC_SPECIES
Tl 204.38 Tl.upf
Cu 63.55 Cu.upf
H 1.01 H.upf
ATOMIC_POSITIONS angstrom
Tl 0.481 -0.409 1.726
Cu -0.423 -1.946 4.146
Tl -0.776 -3.730 1.788
Cu 0.129 -2.193 -0.632
H 1.164 -1.763 3.772
H -1.459 -2.376 -0.257
CELL_PARAMETERS angstrom
-3.160 -0.411 0.783
-0.389 -4.290 -3.819
3.254 0.562 6.550
! E in eV/cell: -18.0

Entry 4:
! Pd2Au2Se (GGA-PBE, optimized geometry); values from VASP
&SYSTEM
  ibrav = 0, nat = 10, ntyp = 3
/
ATOMIC_SPECIES
Se 78.96 Se.upf
Au 196.97 Au.upf
Pd 106.42 Pd.upf
ATOMIC_POSITIONS angstrom
Se 0.000 0.000 0.000
Au -6.109 -4.232 -0.162
Au -3.010 -0.336 -1.230
Pd -2.249 -2.502 -2.976
Pd -1.546 -1.939 0.480
Se -2.972 -3.577 -0.808
Pd -4.398 -5.216 -2.096
Au -4.116 -1.955 1.789
Au -5.003 -2.612 -3.181
Pd -3.694 -4.652 1.360
CELL_PARAMETERS angstrom
-2.658 -2.789 -5.452
-3.286 -4.366 3.835
-3.176 2.587 0.224
! E_form (uncorrected) in meV per atom: 37
! E in eV/cell: -40.5
! Distance to the lowest polymorph of the same formula in eV per atom: 0.000

Look up the E of the fourth one. -40.5 eV/cell